1.
Material: Mg3Sc2In2
Method: DFT, GGA-PBE
State: relaxed

Properties
**Energy of formation**: -16 kJ per mole of atoms
**Fermi-level density of states**: 10.817 states/eV per cell
**Space group**: No. 65
**Calculated density**: 3.98 Mg/m³

Structure (extended XYZ):
```
14
Lattice="4.600 0.000 0.000 0.000 21.419 0.000 0.000 0.000 3.321" Properties=species:S:1:pos:R:3 pbc="T T T"
Mg 0.000 0.000 0.000
Mg 0.000 9.167 1.660
Mg 0.000 12.252 1.660
Mg 2.300 1.542 1.660
Mg 2.300 10.710 0.000
Mg 2.300 19.877 1.660
Sc 0.000 3.316 0.000
Sc 0.000 18.103 0.000
Sc 2.300 7.394 0.000
Sc 2.300 14.025 0.000
In 0.000 6.240 1.660
In 0.000 15.179 1.660
In 2.300 4.470 1.660
In 2.300 16.949 1.660
```

=====

2.
Material: Mg2Sc7In2
Method: DFT, GGA-PBE
State: relaxed

Properties
**Energy of formation**: 17 kJ per mole of atoms
**Fermi-level density of states**: 12.912 states/eV per cell
**Space group**: No. 65
**Calculated density**: 3.48 Mg/m³

Structure (extended XYZ):
```
11
Lattice="3.136 -5.317 0.000 3.136 5.317 0.000 0.000 0.000 8.482" Properties=species:S:1:pos:R:3 pbc="T T T"
Mg 3.136 2.895 0.000
Mg 3.136 -2.895 0.000
Sc 0.000 0.000 1.666
Sc 0.000 0.000 6.816
Sc 1.568 2.658 2.597
Sc 1.568 2.658 5.885
Sc 1.568 -2.658 2.597
Sc 1.568 -2.658 5.885
Sc 3.136 0.000 0.000
In 1.653 0.000 4.241
In 4.619 0.000 4.241
```

=====

3.
Material: MgSc5In4
Method: DFT, GGA-PBE
State: relaxed

Properties
**Energy of formation**: -34 kJ per mole of atoms
**Fermi-level density of states**: 7.473 states/eV per cell
**Space group**: No. 123
**Calculated density**: 5.23 Mg/m³

Structure (extended XYZ):
```
10
Lattice="3.564 0.000 0.000 0.000 3.564 0.000 0.000 0.000 17.724" Properties=species:S:1:pos:R:3 pbc="T T T"
Mg 0.000 0.000 0.000
Sc 1.782 1.782 1.732
Sc 1.782 1.782 5.305
Sc 1.782 1.782 8.862
Sc 1.782 1.782 12.419
Sc 1.782 1.782 15.992
In 0.000 0.000 3.473
In 0.000 0.000 7.079
In 0.000 0.000 10.645
In 0.000 0.000 14.251
```

=====

4.
Material: MgSc3In
Method: DFT, GGA-PBE
State: relaxed

Properties
**Energy of formation**: -23 kJ per mole of atoms
**Fermi-level density of states**: 11.550 states/eV per cell
**Space group**: No. 63
**Calculated density**: 3.94 Mg/m³

Structure (extended XYZ):
```
10
Lattice="2.348 -10.468 0.000 2.348 10.468 0.000 0.000 0.000 4.693" Properties=species:S:1:pos:R:3 pbc="T T T"
Mg 2.348 7.310 3.520
Mg 2.348 -7.310 1.173
Sc 2.348 9.393 1.173
Sc 2.348 5.235 1.173
Sc 2.348 1.131 1.173
Sc 2.348 -1.131 3.520
Sc 2.348 -5.235 3.520
Sc 2.348 -9.393 3.520
In 2.348 3.212 3.520
In 2.348 -3.212 1.173
```

=====

5.
Material: MgSc3In
Method: DFT, GGA-PBE
State: relaxed

Properties
**Energy of formation**: -10 kJ per mole of atoms
**Fermi-level density of states**: 25.641 states/eV per cell
**Space group**: No. 15
**Calculated density**: 3.85 Mg/m³

Structure (extended XYZ):
```
20
Lattice="6.467 -4.511 0.000 6.467 4.511 0.000 -6.245 0.000 8.107" Properties=species:S:1:pos:R:3 pbc="T T T"
Mg 0.346 2.718 5.616
Mg 3.220 2.718 6.544
Mg 3.469 -2.718 1.563
Mg 6.343 -2.718 2.491
Sc -2.004 1.399 7.505
Sc -1.488 0.045 4.794
Sc 1.634 -0.045 0.740
Sc 2.735 1.425 3.473
Sc 7.076 1.425 0.581
Sc 1.118 -1.399 3.452
Sc 5.571 1.399 4.655
Sc -0.387 -1.425 7.526
Sc 3.954 -1.425 4.634
Sc 5.055 0.045 7.366
Sc 8.177 -0.045 3.313
Sc 8.693 -1.399 0.602
In 4.906 3.315 2.027
In 1.783 0.081 6.080
In 4.906 -0.081 2.027
In 1.783 -3.315 6.080
```

=====

6.
Material: MgScIn
Method: DFT, GGA-PBE
State: relaxed

Properties
**Energy of formation**: -19 kJ per mole of atoms
**Fermi-level density of states**: 2.965 states/eV per cell
**Space group**: No. 107
**Calculated density**: 4.45 Mg/m³

Structure (extended XYZ):
```
6
Lattice="3.244 0.000 0.000 0.000 3.244 0.000 0.000 0.000 13.052" Properties=species:S:1:pos:R:3 pbc="T T T"
Mg 0.000 0.000 0.000
Mg 1.622 1.622 6.526
Sc 0.000 0.000 4.244
Sc 1.622 1.622 10.770
In 0.000 0.000 8.668
In 1.622 1.622 2.142
```

=====

7.
Material: MgScIn
Method: DFT, GGA-PBE
State: relaxed

Properties
**Energy of formation**: -4 kJ per mole of atoms
**Fermi-level density of states**: 5.056 states/eV per cell
**Space group**: No. 129
**Calculated density**: 4.24 Mg/m³

Structure (extended XYZ):
```
6
Lattice="4.398 0.000 0.000 0.000 4.398 0.000 0.000 0.000 7.457" Properties=species:S:1:pos:R:3 pbc="T T T"
Mg 1.100 1.100 1.637
Mg 3.299 3.299 5.820
Sc 1.100 1.100 6.067
Sc 3.299 3.299 1.390
In 1.100 3.299 3.729
In 3.299 1.100 3.729
```

=====

8.
Material: Mg3ScIn4
Method: DFT, GGA-PBE
State: relaxed

Properties
**Energy of formation**: -18 kJ per mole of atoms
**Fermi-level density of states**: 6.972 states/eV per cell
**Space group**: No. 12
**Calculated density**: 5.26 Mg/m³

Structure (extended XYZ):
```
16
Lattice="17.675 0.000 0.000 0.000 4.617 0.000 -1.174 0.000 4.466" Properties=species:S:1:pos:R:3 pbc="T T T"
Mg 0.000 0.000 0.000
Mg 3.495 2.308 3.336
Mg 4.168 0.000 1.130
Mg 8.838 2.308 0.000
Mg 12.333 0.000 3.336
Mg 13.005 2.308 1.130
Sc -0.587 2.308 2.233
Sc 8.250 0.000 2.233
In 1.464 0.000 2.783
In 2.051 2.308 0.553
In 5.612 0.000 3.914
In 6.199 2.308 1.683
In 10.888 0.000 0.553
In 10.302 2.308 2.783
In 15.036 0.000 1.683
In 14.450 2.308 3.914
```

=====

Repeat the fifth record exactly.
Material: MgSc3In
Method: DFT, GGA-PBE
State: relaxed

Properties
**Energy of formation**: -10 kJ per mole of atoms
**Fermi-level density of states**: 25.641 states/eV per cell
**Space group**: No. 15
**Calculated density**: 3.85 Mg/m³

Structure (extended XYZ):
```
20
Lattice="6.467 -4.511 0.000 6.467 4.511 0.000 -6.245 0.000 8.107" Properties=species:S:1:pos:R:3 pbc="T T T"
Mg 0.346 2.718 5.616
Mg 3.220 2.718 6.544
Mg 3.469 -2.718 1.563
Mg 6.343 -2.718 2.491
Sc -2.004 1.399 7.505
Sc -1.488 0.045 4.794
Sc 1.634 -0.045 0.740
Sc 2.735 1.425 3.473
Sc 7.076 1.425 0.581
Sc 1.118 -1.399 3.452
Sc 5.571 1.399 4.655
Sc -0.387 -1.425 7.526
Sc 3.954 -1.425 4.634
Sc 5.055 0.045 7.366
Sc 8.177 -0.045 3.313
Sc 8.693 -1.399 0.602
In 4.906 3.315 2.027
In 1.783 0.081 6.080
In 4.906 -0.081 2.027
In 1.783 -3.315 6.080
```